DFT (GGA+U) results for a geometry-optimized NiClO2 structure.

a b c (Å): 3.9388 3.9388 3.9388
angles (deg): 60.00 60.00 60.00
Element x y z (fractional)
Ni  0.0000  0.0000  0.0000
Cl  0.5000  0.5000  0.5000
O  0.2500  0.2500  0.2500
O  0.7500  0.7500  0.7500

Output
Calculated volume in Å³ per atom: 10.8
N(E_F) in states/eV per atom: 0.831
Electronic total energy in eV/atom: -2.4601